# TaSb2TeAu | the Alexandria database | PBE-GGA | optimized geometry
data_TaSb2TeAu
_chemical_formula_sum 'Ta1 Sb2 Te1 Au1'
_symmetry_space_group_name_H-M 'P 1'
_symmetry_Int_Tables_number 1
_cell_length_a 5.259
_cell_length_b 5.259
_cell_length_c 5.363
_cell_angle_alpha 90.00
_cell_angle_beta 90.00
_cell_angle_gamma 90.00
loop_
_symmetry_equiv_pos_as_xyz
'x,y,z'
loop_
_atom_site_label
_atom_site_type_symbol
_atom_site_fract_x
_atom_site_fract_y
_atom_site_fract_z
Ta1 Ta 0.000 0.000 0.000
Sb1 Sb 0.000 0.500 0.500
Sb2 Sb 0.500 0.000 0.500
Te1 Te 0.500 0.500 0.000
Au1 Au 0.500 0.500 0.500
# V in Å³ per atom: 29.66
# Formation energy (no corrections) in eV per atom: 1.25
# Offset from the most stable computed form in meV per atom: 711.7
# Density of states at the Fermi level in states/eV per cell: 6.5